Entry from the Alexandria database: crystalline ErZnCd2 at its relaxed geometry (PBE-GGA).

Geometry as POSCAR:
```
ErZnCd2
1.0
-4.6071 -0.7855 0.7820
0.9257 -3.9744 1.4618
0.4136 1.5740 4.0176
Zn Cd Er
1 2 1
direct
0.5000 0.0000 0.0000 Zn
0.0000 0.0000 0.5000 Cd
0.0000 0.5000 0.0000 Cd
0.5000 0.5000 0.5000 Er
```

Summary:
The space group is P4/mmm, No. 123. The value obtained for the total energy is -2.1276 eV/atom. The value obtained for the theoretical density is 8.5 g/cm³. Its formation energy from the elements is -0.211 eV/atom.